[1]
DFT (PBE) results for crystalline CrTcP2Cl at its relaxed geometry.

## Properties
Total magnetization ... 5.72 μB per formula unit
N(E_F) ... 2.88 states/eV per cell
Space group ... P4/mmm (123)

Unit cell a=4.5318 b=4.5318 c=4.6383 alpha=90.00 beta=90.00 gamma=90.00
Last column: magnetic moment on the atom in μB.
Element x y z (fractional)
Cr 0.0000 0.0000 0.0000  2.12
Tc 0.5000 0.5000 0.5000  3.46
P 0.0000 0.5000 0.0000  -0.18
P 0.5000 0.0000 0.0000  -0.18
Cl 0.0000 0.0000 0.5000  0.08


[2]
DFT (PBE) results for crystalline Nd4SmTmS8 at its relaxed geometry.

## Properties
Total magnetization ... 0.72 μB per formula unit
N(E_F) ... 6.69 states/eV per cell
Space group ... R3m (160)

Unit cell a=8.2706 b=8.2706 c=8.2626 alpha=59.97 beta=59.97 gamma=60.00
Last column: magnetic moment on the atom in μB.
Element x y z (fractional)
Nd 0.6248 0.6248 0.1256  0.03
Nd 0.0025 0.4929 0.5022  0.07
Nd 0.4929 0.0025 0.5022  0.07
Nd 0.0025 0.0025 0.5022  0.07
Sm 0.0023 0.0023 0.9931  0.06
Tm 0.3752 0.3752 0.8744  0.08
S 0.2457 0.7574 0.7513  0.00
S 0.7574 0.2457 0.7513  0.00
S 0.2457 0.2457 0.7513  0.00
S 0.2482 0.2482 0.2554  0.00
S 0.7608 0.2231 0.2554  0.00
S 0.2231 0.7608 0.2554  0.00
S 0.7608 0.7608 0.2554  0.00
S 0.7583 0.7583 0.7250  0.00


[3]
DFT (PBE) results for crystalline Tm2ZrIn at its relaxed geometry.

## Properties
Total magnetization ... 2.65 μB per formula unit
N(E_F) ... 2.79 states/eV per cell
Space group ... Fm-3m (225)
Energy of formation from the pure elements ... -0.071 eV per atom

Unit cell a=5.2791 b=5.2791 c=5.2791 alpha=60.00 beta=60.00 gamma=60.00
Last column: magnetic moment on the atom in μB.
Element x y z (fractional)
Tm 0.2500 0.2500 0.2500  0.46
Tm 0.7500 0.7500 0.7500  0.46
Zr 0.0000 0.0000 0.0000  1.12
In 0.5000 0.5000 0.5000  -0.01


[4]
DFT (PBE) results for crystalline RePtAu2 at its relaxed geometry.

## Properties
Total magnetization ... 0.02 μB per formula unit
N(E_F) ... 5.27 states/eV per cell
Space group ... R3m (160)
Energy of formation from the pure elements ... 0.171 eV per atom

Unit cell a=9.5477 b=9.5477 c=9.5477 alpha=17.16 beta=17.16 gamma=17.16
Element x y z (fractional)
Au 0.0034 0.0034 0.0034
Au 0.2485 0.2485 0.2485
Pt 0.4954 0.4954 0.4954
Re 0.7527 0.7527 0.7527


[5]
DFT (PBE) results for crystalline K2AgHg2 at its relaxed geometry.

## Properties
Total magnetization ... 0.00 μB per formula unit
N(E_F) ... 4.72 states/eV per cell
Space group ... C2/m (12)
Energy of formation from the pure elements ... -0.112 eV per atom

Unit cell a=8.2478 b=7.1604 c=7.9886 alpha=80.31 beta=73.01 gamma=54.84
Element x y z (fractional)
K 0.5520 0.3575 0.7413
K 0.4480 0.6425 0.2587
K 0.9095 0.6425 0.7413
K 0.0905 0.3575 0.2587
Ag 0.1186 0.7628 0.0000
Ag 0.8814 0.2372 0.0000
Hg 0.8911 0.0000 0.3584
Hg 0.6478 0.0000 0.1337
Hg 0.3522 0.0000 0.8663
Hg 0.1089 0.0000 0.6416


[6]
DFT (PBE) results for crystalline LaHfMg2 at its relaxed geometry.

## Properties
Total magnetization ... 0.00 μB per formula unit
N(E_F) ... 3.71 states/eV per cell
Space group ... P4/mmm (123)
Energy of formation from the pure elements ... 0.083 eV per atom

Unit cell a=3.2929 b=3.2929 c=9.3910 alpha=90.00 beta=90.00 gamma=90.00
Element x y z (fractional)
Mg 0.0000 0.0000 0.7798
Mg 0.0000 0.0000 0.2202
Hf 0.5000 0.5000 0.0000
La 0.5000 0.5000 0.5000


[7]
DFT (PBE) results for crystalline Rb5ZrTe5 at its relaxed geometry.

## Properties
Total magnetization ... 0.96 μB per formula unit
N(E_F) ... 14.51 states/eV per cell
Space group ... C2/m (12)

Unit cell a=6.8072 b=8.9901 c=9.7961 alpha=108.21 beta=90.00 gamma=112.25
Last column: magnetic moment on the atom in μB.
Element x y z (fractional)
Rb 0.6996 0.3991 0.3068  0.00
Rb 0.6712 0.3425 0.8422  0.00
Rb 0.0000 0.0000 0.5000  0.01
Rb 0.3288 0.6575 0.1578  0.00
Rb 0.3004 0.6009 0.6932  0.00
Zr 0.0000 0.0000 0.0000  -0.04
Te 0.8719 0.7437 0.1361  0.07
Te 0.8647 0.7294 0.7167  0.09
Te 0.5000 0.0000 0.0000  0.17
Te 0.1353 0.2706 0.2833  0.09
Te 0.1281 0.2563 0.8639  0.07


[8]
DFT (PBE) results for crystalline PuBi4Pd15 at its relaxed geometry.

## Properties
Total magnetization ... 4.95 μB per formula unit
N(E_F) ... 27.67 states/eV per cell
Space group ... P4/mmm (123)
Energy of formation from the pure elements ... -0.294 eV per atom

Unit cell a=4.1483 b=4.1483 c=20.6359 alpha=90.00 beta=90.00 gamma=90.00
Last column: magnetic moment on the atom in μB.
Element x y z (fractional)
Pu 0.0000 0.0000 0.0000  4.83
Bi 0.0000 0.0000 0.1999  0.02
Bi 0.0000 0.0000 0.3999  0.01
Bi 0.0000 0.0000 0.6001  0.01
Bi 0.0000 0.0000 0.8001  0.02
Pd 0.5000 0.5000 0.0000  -0.07
Pd 0.5000 0.5000 0.2019  0.02
Pd 0.5000 0.5000 0.4002  0.01
Pd 0.5000 0.5000 0.5998  0.01
Pd 0.5000 0.5000 0.7981  0.02
Pd 0.5000 0.0000 0.0995  -0.04
Pd 0.5000 0.0000 0.3004  0.02
Pd 0.5000 0.0000 0.5000  0.01
Pd 0.5000 0.0000 0.6996  0.02
Pd 0.5000 0.0000 0.9005  -0.04
Pd 0.0000 0.5000 0.0995  -0.04
Pd 0.0000 0.5000 0.3004  0.02
Pd 0.0000 0.5000 0.5000  0.01
Pd 0.0000 0.5000 0.6996  0.02
Pd 0.0000 0.5000 0.9005  -0.04


[9]
DFT (PBE) results for crystalline UTaV at its relaxed geometry.

## Properties
Total magnetization ... 0.50 μB per formula unit
N(E_F) ... 5.64 states/eV per cell
Space group ... I4mm (107)
Energy of formation from the pure elements ... 0.335 eV per atom

Unit cell a=3.3117 b=3.3117 c=5.3917 alpha=107.89 beta=107.89 gamma=90.00
Last column: magnetic moment on the atom in μB.
Element x y z (fractional)
V 0.2708 0.2708 0.5416  -0.03
U 0.6329 0.6329 0.2658  0.51
Ta 0.9463 0.9463 0.8925  0.00


[10]
DFT (PBE) results for crystalline Sr2PdF6 at its relaxed geometry.

## Properties
Total magnetization ... 1.99 μB per formula unit
Space group ... P4_2/mnm (136)

Unit cell a=5.4002 b=5.4002 c=11.1885 alpha=90.00 beta=90.00 gamma=90.00
Last column: magnetic moment on the atom in μB.
Element x y z (fractional)
Sr 0.0000 0.0000 0.3346  0.01
Sr 0.5000 0.5000 0.8346  0.01
Sr 0.5000 0.5000 0.1654  0.01
Sr 0.0000 0.0000 0.6654  0.01
Pd 0.0000 0.0000 0.0000  1.49
Pd 0.5000 0.5000 0.5000  1.49
F 0.3158 0.3158 0.3439  0.07
F 0.6842 0.6842 0.3439  0.07
F 0.1842 0.8158 0.8439  0.07
F 0.8158 0.1842 0.8439  0.07
F 0.1842 0.8158 0.1561  0.07
F 0.8158 0.1842 0.1561  0.07
F 0.3158 0.3158 0.6561  0.07
F 0.6842 0.6842 0.6561  0.07
F 0.2900 0.2900 0.0000  0.07
F 0.7100 0.7100 0.0000  0.07
F 0.2100 0.7900 0.5000  0.07
F 0.7900 0.2100 0.5000  0.07


[11]
DFT (PBE) results for crystalline BaAsBr2O at its relaxed geometry.

## Properties
Total magnetization ... 4.96 μB per formula unit
N(E_F) ... 13.49 states/eV per cell
Space group ... P4/mmm (123)

Unit cell a=6.2554 b=6.2554 c=7.6823 alpha=90.00 beta=90.00 gamma=90.00
Last column: magnetic moment on the atom in μB.
Element x y z (fractional)
O 0.5000 0.5000 0.5000  1.44
As 0.0000 0.0000 0.5000  1.25
Ba 0.0000 0.0000 0.0000  0.02
Br 0.0000 0.5000 0.0000  0.05
Br 0.5000 0.0000 0.0000  0.05


[12]
DFT (PBE) results for crystalline La4ZnSn3 at its relaxed geometry.

## Properties
Total magnetization ... 0.74 μB per formula unit
N(E_F) ... 8.68 states/eV per cell
Space group ... Pmm2 (25)
Energy of formation from the pure elements ... -0.671 eV per atom

Unit cell a=4.7178 b=4.4725 c=11.9136 alpha=90.00 beta=90.00 gamma=90.00
Last column: magnetic moment on the atom in μB.
Element x y z (fractional)
Zn 0.5000 0.5000 0.0751  0.02
Sn 0.0000 0.5000 0.5875  0.00
Sn 0.0000 0.0000 0.4147  0.00
Sn 0.5000 0.0000 0.9250  -0.01
La 0.5000 0.5000 0.3554  0.07
La 0.0000 0.5000 0.8671  0.04
La 0.0000 0.0000 0.1362  0.11
La 0.5000 0.0000 0.6390  0.01


| no. | E_tot (eV/atom) |
| --- | --- |
| 1 | -5.728 |
| 2 | -6.285 |
| 3 | -5.129 |
| 4 | -6.090 |
| 5 | -1.241 |
| 6 | -4.434 |
| 7 | -3.467 |
| 8 | -5.682 |
| 9 | -10.418 |
| 10 | -5.126 |
| 11 | -2.878 |
| 12 | -4.795 |